# 1
Entry from the Alexandria database: a relaxed structure of KYTiO4 (PBE).

Properties
Raw total energy: -7.9587 eV per atom
Space group: P2_1/m, No. 11

POSCAR file:
```
KYTiO4
1.0
5.927 0.000 0.000
0.000 6.020 0.000
-2.309 0.000 7.093
K Y Ti O
2 2 2 8
Direct
0.186 0.250 0.430
0.814 0.750 0.570
0.313 0.250 0.957
0.687 0.750 0.043
0.228 0.750 0.161
0.772 0.250 0.839
0.014 0.750 0.933
0.024 0.750 0.301
0.446 0.522 0.173
0.446 0.978 0.173
0.554 0.022 0.827
0.554 0.478 0.827
0.976 0.250 0.699
0.986 0.250 0.067
```

# 2
Entry from the Alexandria database: a relaxed structure of KTi2Zn2O7 (PBE).

Properties
Raw total energy: -6.6652 eV per atom
Space group: Imm2, No. 44

POSCAR file:
```
KTi2Zn2O7
1.0
-1.831 8.330 2.612
1.831 -8.330 2.612
1.831 8.330 -2.612
K Ti Zn O
1 2 2 7
Direct
0.000 0.000 0.000
0.383 0.996 0.388
0.608 0.996 0.612
0.234 0.507 0.727
0.779 0.507 0.273
0.039 0.658 0.381
0.278 0.658 0.619
0.392 0.120 0.272
0.491 0.606 0.885
0.571 0.071 0.500
0.721 0.606 0.115
0.848 0.120 0.728
```

# 3
Entry from the Alexandria database: a relaxed structure of KTi2ZnO6 (PBE).

Properties
Raw total energy: -7.0716 eV per atom
Space group: C2/c, No. 15

POSCAR file:
```
KTi2ZnO6
1.0
4.747 -5.866 0.000
4.747 5.866 0.000
-2.483 0.000 5.819
K Ti Zn O
2 4 2 12
Direct
0.105 0.895 0.750
0.895 0.105 0.250
0.280 0.434 0.836
0.434 0.280 0.336
0.566 0.720 0.664
0.720 0.566 0.164
0.204 0.796 0.250
0.796 0.204 0.750
0.055 0.249 0.722
0.208 0.637 0.962
0.249 0.055 0.222
0.344 0.420 0.556
0.363 0.792 0.538
0.420 0.344 0.056
0.580 0.656 0.944
0.637 0.208 0.462
0.656 0.580 0.444
0.751 0.945 0.778
0.792 0.363 0.038
0.945 0.751 0.278
```

# 4
Entry from the Alexandria database: a relaxed structure of K2ZrTiO5 (PBE).

Properties
Raw total energy: -7.5118 eV per atom
Space group: Cmc2_1, No. 36

POSCAR file:
```
K2ZrTiO5
1.0
1.677 -6.452 0.000
1.677 6.452 0.000
0.000 0.000 13.184
K Zr Ti O
4 2 2 10
Direct
0.073 0.927 0.500
0.169 0.831 0.119
0.831 0.169 0.619
0.927 0.073 0.000
0.224 0.776 0.852
0.776 0.224 0.352
0.480 0.520 0.268
0.520 0.480 0.768
0.049 0.951 0.836
0.275 0.725 0.454
0.317 0.683 0.253
0.377 0.623 0.818
0.494 0.506 0.638
0.506 0.494 0.138
0.623 0.377 0.318
0.683 0.317 0.753
0.725 0.275 0.954
0.951 0.049 0.336
```

# 5
Entry from the Alexandria database: a relaxed structure of K7Tl2O2 (PBE).

Properties
Raw total energy: -2.5826 eV per atom
Space group: C2/m, No. 12

POSCAR file:
```
K7Tl2O2
1.0
6.195 -3.947 0.000
6.195 3.947 0.000
-0.029 0.000 7.914
K Tl O
7 2 2
Direct
0.000 0.000 0.000
0.001 0.501 0.210
0.499 0.499 0.805
0.499 0.999 0.790
0.501 0.001 0.210
0.501 0.501 0.195
0.999 0.499 0.790
0.176 0.824 0.500
0.824 0.176 0.500
0.322 0.322 0.000
0.678 0.678 0.000
```

# 6
Entry from the Alexandria database: a relaxed structure of K6TlO2 (PBE).

Properties
Raw total energy: -2.7558 eV per atom
Space group: P-31m, No. 162

POSCAR file:
```
K6TlO2
1.0
7.166 0.000 0.000
-3.583 6.206 0.000
0.000 0.000 7.933
K Tl O
6 1 2
Direct
0.000 0.402 0.188
0.000 0.598 0.812
0.402 0.000 0.188
0.402 0.402 0.812
0.598 0.000 0.812
0.598 0.598 0.188
0.000 0.000 0.500
0.333 0.667 0.000
0.667 0.333 0.000
```

# 7
Entry from the Alexandria database: a relaxed structure of KTlO2 (PBE).

Properties
Raw total energy: -4.3900 eV per atom
Space group: R-3m, No. 166

POSCAR file:
```
KTlO2
1.0
3.506 0.000 0.000
-1.753 3.036 0.000
0.000 0.000 18.545
K Tl O
3 3 6
Direct
0.000 0.000 0.000
0.333 0.667 0.667
0.667 0.333 0.333
0.000 0.000 0.500
0.333 0.667 0.167
0.667 0.333 0.833
0.000 0.000 0.232
0.000 0.000 0.768
0.333 0.667 0.434
0.333 0.667 0.899
0.667 0.333 0.101
0.667 0.333 0.566
```

# 8
Entry from the Alexandria database: a relaxed structure of K8TlO2 (PBE).

Properties
Raw total energy: -2.4307 eV per atom
Space group: Cm, No. 8

POSCAR file:
```
K8TlO2
1.0
4.448 -5.863 0.000
4.448 5.863 0.000
-1.132 0.000 8.313
K Tl O
8 1 2
Direct
0.000 0.000 0.000
0.094 0.414 0.766
0.162 0.748 0.481
0.373 0.767 0.049
0.414 0.094 0.766
0.748 0.162 0.481
0.764 0.764 0.685
0.767 0.373 0.049
0.339 0.339 0.318
0.130 0.778 0.795
0.778 0.130 0.795
```

# 9
Entry from the Alexandria database: a relaxed structure of KTlO2 (PBE).

Properties
Raw total energy: -4.0943 eV per atom
Space group: R-3m, No. 166

POSCAR file:
```
KTlO2
1.0
3.882 0.000 0.000
-1.941 3.362 0.000
0.000 0.000 20.660
K Tl O
3 3 6
Direct
0.000 0.000 0.000
0.333 0.667 0.667
0.667 0.333 0.333
0.000 0.000 0.500
0.333 0.667 0.167
0.667 0.333 0.833
0.000 0.000 0.407
0.000 0.000 0.593
0.333 0.667 0.073
0.333 0.667 0.260
0.667 0.333 0.740
0.667 0.333 0.927
```

# 10
Entry from the Alexandria database: a relaxed structure of K3TlO3 (PBE).

Properties
Offset from the most stable computed form: 0.000 eV/atom
Space group: P2_1/c, No. 14

POSCAR file:
```
K3TlO3
1.0
7.536 0.000 0.000
0.000 6.994 0.000
-0.553 0.000 11.506
K Tl O
12 4 12
Direct
0.078 0.134 0.161
0.078 0.366 0.661
0.360 0.182 0.918
0.360 0.318 0.418
0.374 0.716 0.818
0.374 0.784 0.318
0.626 0.216 0.682
0.626 0.284 0.182
0.640 0.682 0.582
0.640 0.818 0.082
0.922 0.634 0.339
0.922 0.866 0.839
0.167 0.602 0.072
0.167 0.898 0.572
0.833 0.102 0.428
0.833 0.398 0.928
0.118 0.030 0.392
0.118 0.470 0.892
0.270 0.619 0.538
0.270 0.881 0.038
0.315 0.063 0.700
0.315 0.437 0.200
0.685 0.563 0.800
0.685 0.937 0.300
0.730 0.119 0.962
0.730 0.381 0.462
0.882 0.530 0.108
0.882 0.970 0.608
```

# 11
Entry from the Alexandria database: a relaxed structure of KTlO2 (PBE).

Properties
Raw total energy: -4.3192 eV per atom
Space group: Pnma, No. 62

POSCAR file:
```
KTlO2
1.0
6.257 0.000 0.000
0.000 3.903 0.000
0.000 0.000 11.707
K Tl O
4 4 8
Direct
0.077 0.250 0.133
0.423 0.750 0.633
0.577 0.250 0.367
0.923 0.750 0.867
0.070 0.750 0.384
0.430 0.250 0.884
0.570 0.750 0.116
0.930 0.250 0.616
0.173 0.250 0.766
0.181 0.250 0.484
0.319 0.750 0.984
0.327 0.750 0.266
0.673 0.250 0.734
0.681 0.250 0.016
0.819 0.750 0.516
0.827 0.750 0.234
```

# 12
Entry from the Alexandria database: a relaxed structure of KTl3O (PBE).

Properties
Offset from the most stable computed form: 0.000 eV/atom
Space group: Pm-3m, No. 221

POSCAR file:
```
KTl3O
1.0
5.317 0.000 0.000
0.000 5.317 0.000
0.000 0.000 5.317
K Tl O
1 3 1
Direct
0.000 0.000 0.000
0.000 0.500 0.500
0.500 0.000 0.500
0.500 0.500 0.000
0.500 0.500 0.500
```